Record 1
First-principles (PBE) data for crystalline KNp4S8 at its relaxed geometry, as listed in Alexandria.

Cell: 8.008 8.008 8.768 Å, 102.72 103.73 119.94°
Atoms (fractional coordinates):
S: 0.326 0.504 0.829
S: 0.173 0.011 0.183
S: 0.839 0.506 0.821
S: 0.161 0.494 0.179
S: 0.684 0.017 0.179
S: 0.827 0.989 0.817
S: 0.674 0.496 0.171
S: 0.316 0.983 0.821
Np: 0.259 0.760 0.020
Np: 0.752 0.752 0.000
Np: 0.741 0.240 0.980
Np: 0.248 0.248 0.000
K: 0.000 0.500 0.500

Properties
ΔE_f (raw) (eV/f.u.): -17.46
Density of states at the Fermi level (states/eV/cell): 39.4
Calculated density (g/cm³): 4.77
Distance to the lowest polymorph of the same formula (kJ/mol of formula units): 0
DFT total energy (hartree per atom): -0.29214

---

Record 2
First-principles (PBE) data for crystalline Nd2BiN at its relaxed geometry, as listed in Alexandria.

Cell: 3.304 3.304 8.114 Å, 90.00 90.00 90.00°
Atoms (fractional coordinates):
Nd: 0.000 0.000 0.816
Nd: 0.000 0.000 0.184
Bi: 0.500 0.500 0.500
N: 0.500 0.500 0.000

Properties
ΔE_f (raw) (eV/f.u.): -2.15
Density of states at the Fermi level (states/eV/cell): 1.6
Calculated density (g/cm³): 9.59
Distance to the lowest polymorph of the same formula (kJ/mol of formula units): 240
DFT total energy (hartree per atom): -0.21955

---

Record 3
First-principles (PBE) data for crystalline DyTm2Re at its relaxed geometry, as listed in Alexandria.

Cell: 4.855 4.855 5.510 Å, 63.86 63.86 60.00°
Atoms (fractional coordinates):
Tm: 0.270 0.270 0.190
Tm: 0.730 0.730 0.810
Re: 0.000 0.000 0.000
Dy: 0.500 0.500 0.500

Properties
Formation enthalpy at 0 K (meV per atom): 250
Density of states at the Fermi level (states/eV/cell): 4.2
Calculated density (g/cm³): 11.77
DFT total energy (hartree per atom): -0.22960

---

Record 4
First-principles (PBE) data for crystalline NaPdS4 at its relaxed geometry, as listed in Alexandria.

Cell: 4.715 4.715 15.671 Å, 81.35 81.35 90.00°
Atoms (fractional coordinates):
S: 0.986 0.856 0.128
S: 0.386 0.016 0.128
S: 0.484 0.514 0.372
S: 0.644 0.114 0.372
S: 0.516 0.486 0.628
S: 0.614 0.984 0.872
S: 0.356 0.886 0.628
S: 0.014 0.144 0.872
Pd: 0.375 0.125 0.750
Pd: 0.625 0.875 0.250
Na: 0.125 0.375 0.250
Na: 0.875 0.625 0.750

Properties
ΔE_f (raw) (eV/f.u.): -1.08
Density of states at the Fermi level (states/eV/cell): 7.2
Calculated density (g/cm³): 2.51
DFT total energy (hartree per atom): -0.14761

---

Record 5
First-principles (PBE) data for crystalline HoEr6Sc12 at its relaxed geometry, as listed in Alexandria.

Cell: 8.126 8.126 8.126 Å, 79.34 79.34 79.34°
Atoms (fractional coordinates):
Sc: 0.493 0.807 0.493
Sc: 0.493 0.493 0.807
Sc: 0.862 0.862 0.513
Sc: 0.507 0.507 0.193
Sc: 0.862 0.513 0.862
Sc: 0.487 0.138 0.138
Sc: 0.138 0.487 0.138
Sc: 0.807 0.493 0.493
Sc: 0.507 0.193 0.507
Sc: 0.138 0.138 0.487
Sc: 0.513 0.862 0.862
Sc: 0.193 0.507 0.507
Er: 0.240 0.240 0.836
Er: 0.836 0.240 0.240
Er: 0.240 0.836 0.240
Er: 0.760 0.760 0.164
Er: 0.760 0.164 0.760
Er: 0.164 0.760 0.760
Ho: 0.000 0.000 0.000

Properties
Formation enthalpy at 0 K (meV per atom): 157
Density of states at the Fermi level (states/eV/cell): 26.6
Calculated density (g/cm³): 5.54
Distance to the lowest polymorph of the same formula (kJ/mol of formula units): 0
DFT total energy (hartree per atom): -0.20299

---

- Which value of calculated density does entry 2 give?
  9.59 g/cm³

---

- Among the records above, which one has the highest density of states at the Fermi level?
  KNp4S8

---

What did the fourth record say?
First-principles (PBE) data for crystalline NaPdS4 at its relaxed geometry, as listed in Alexandria.

Cell: 4.715 4.715 15.671 Å, 81.35 81.35 90.00°
Atoms (fractional coordinates):
S: 0.986 0.856 0.128
S: 0.386 0.016 0.128
S: 0.484 0.514 0.372
S: 0.644 0.114 0.372
S: 0.516 0.486 0.628
S: 0.614 0.984 0.872
S: 0.356 0.886 0.628
S: 0.014 0.144 0.872
Pd: 0.375 0.125 0.750
Pd: 0.625 0.875 0.250
Na: 0.125 0.375 0.250
Na: 0.875 0.625 0.750

Properties
ΔE_f (raw) (eV/f.u.): -1.08
Density of states at the Fermi level (states/eV/cell): 7.2
Calculated density (g/cm³): 2.51
DFT total energy (hartree per atom): -0.14761

---

- Which value of DFT total energy does entry 5 give?
  -0.20299 hartree per atom